# 1
The following is a PBE-GGA calculation of a relaxed structure of TaTlRu2, from the Alexandria database.

Cell lengths 4.433, 4.433, 3.386 Å; angles 90.00, 90.00, 90.00 degrees
Space group P4/mmm (No. 123)
Symmetry-distinct sites (fractional):
Ta (0.000, 0.000, 0.000) [1 per cell]
Tl (0.500, 0.500, 0.000) [1 per cell]
Ru (0.000, 0.500, 0.500) [2 per cell]

Properties
Total energy in eV per formula unit: -32.426
Calculated volume in A^3/atom: 16.6
Density in Mg/m³: 14.7
N(E_F) in states/eV/cell: 1.2

# 2
The following is a PBE-GGA calculation of a relaxed structure of Ta2TlRu, from the Alexandria database.

Cell lengths 3.299, 4.932, 9.184 Å; angles 90.00, 90.00, 90.00 degrees
Space group Cmm2 (No. 35)
Symmetry-distinct sites (fractional):
Ta (0.000, 0.000, 0.000) [2 per cell]
Ta (0.000, 0.500, 0.246) [2 per cell]
Tl (0.000, 0.000, 0.526) [2 per cell]
Ru (0.000, 0.500, 0.785) [2 per cell]

Properties
ΔE to the lowest computed polymorph in eV/atom: 0.1536
Calculated volume in A^3/atom: 18.7
Density in Mg/m³: 14.8
N(E_F) in states/eV/cell: 7.5